# 1
# ScP3N | the Alexandria database | PBE | optimized geometry
data_ScP3N
_space_group_name_H-M_alt 'P m -3 m'
_space_group_IT_number 221
_space_group_name_Hall '-P 4 2 3'
_cell_length_a 4.942
_cell_length_b 4.942
_cell_length_c 4.942
_cell_angle_alpha 90.00
_cell_angle_beta 90.00
_cell_angle_gamma 90.00
loop_
_atom_site_label
_atom_site_fract_x
_atom_site_fract_y
_atom_site_fract_z
_atom_site_occupancy
Sc1 0.000 0.000 0.000 1
P1 0.000 0.000 0.500 1
N1 0.500 0.500 0.500 1
# - raw formation energy (meV per atom) = 1527
# - total magnetization (μB per atom) = 0.546

***

# 2
# Tl2OsCl | the Alexandria database | PBE | optimized geometry
data_Tl2OsCl
_space_group_name_H-M_alt 'P 4/m m m'
_space_group_IT_number 123
_space_group_name_Hall '-P 4 2'
_cell_length_a 3.351
_cell_length_b 3.351
_cell_length_c 7.842
_cell_angle_alpha 90.00
_cell_angle_beta 90.00
_cell_angle_gamma 90.00
loop_
_atom_site_label
_atom_site_fract_x
_atom_site_fract_y
_atom_site_fract_z
_atom_site_occupancy
Tl1 0.000 0.000 0.210 1
Os1 0.500 0.500 0.000 1
Cl1 0.500 0.500 0.500 1
# - raw formation energy (meV per atom) = 549
# - total magnetization (μB per atom) = 0.000

***

# 3
# CoGeSb2 | the Alexandria database | PBE | optimized geometry
data_CoGeSb2
_space_group_name_H-M_alt 'I -4 2 d'
_space_group_IT_number 122
_space_group_name_Hall 'I -4 2bw'
_cell_length_a 5.926
_cell_length_b 5.926
_cell_length_c 12.010
_cell_angle_alpha 90.00
_cell_angle_beta 90.00
_cell_angle_gamma 90.00
loop_
_atom_site_label
_atom_site_fract_x
_atom_site_fract_y
_atom_site_fract_z
_atom_site_occupancy
Co1 0.000 0.000 0.000 1
Ge1 0.000 0.000 0.500 1
Sb1 0.207 0.250 0.125 1
# - raw formation energy (meV per atom) = 206
# - total magnetization (μB per atom) = 0.000

***

# 4
# CdTcPb3 | the Alexandria database | PBE | optimized geometry
data_CdTcPb3
_space_group_name_H-M_alt 'P m -3 m'
_space_group_IT_number 221
_space_group_name_Hall '-P 4 2 3'
_cell_length_a 5.357
_cell_length_b 5.357
_cell_length_c 5.357
_cell_angle_alpha 90.00
_cell_angle_beta 90.00
_cell_angle_gamma 90.00
loop_
_atom_site_label
_atom_site_fract_x
_atom_site_fract_y
_atom_site_fract_z
_atom_site_occupancy
Cd1 0.000 0.000 0.000 1
Tc1 0.500 0.500 0.500 1
Pb1 0.000 0.500 0.500 1
# - DFT formation energy (eV/atom) = 0.360
# - total magnetization (μB per atom) = 0.000

***

# 5
# Ho2CdHg4 | the Alexandria database | PBE | optimized geometry
data_Ho2CdHg4
_space_group_name_H-M_alt 'R -3 m'
_space_group_IT_number 166
_space_group_name_Hall '-R 3 2"'
_cell_length_a 4.9967
_cell_length_b 4.9967
_cell_length_c 24.8852
_cell_angle_alpha 90.00
_cell_angle_beta 90.00
_cell_angle_gamma 120.00
loop_
_atom_site_label
_atom_site_fract_x
_atom_site_fract_y
_atom_site_fract_z
_atom_site_occupancy
Ho1 0.0000 0.0000 0.2471 1
Cd1 0.0000 0.0000 0.5000 1
Hg1 0.0000 0.0000 0.1191 1
Hg2 0.0000 0.0000 0.3700 1
# - DFT formation energy (eV/atom) = -0.280
# - total magnetization (μB per atom) = 0.000

***

# 6
# Li2LaCu | the Alexandria database | PBE | optimized geometry
data_Li2LaCu
_space_group_name_H-M_alt 'P 1 2/m 1'
_space_group_IT_number 10
_space_group_name_Hall '-P 2y'
_cell_length_a 3.448
_cell_length_b 5.220
_cell_length_c 4.892
_cell_angle_alpha 90.00
_cell_angle_beta 94.12
_cell_angle_gamma 90.00
loop_
_atom_site_label
_atom_site_fract_x
_atom_site_fract_y
_atom_site_fract_z
_atom_site_occupancy
Li1 0.175 0.000 0.290 1
La1 0.500 0.500 0.000 1
Cu1 0.000 0.500 0.500 1
# - DFT formation energy (eV/atom) = 0.063
# - total magnetization (μB per atom) = 0.000

***

# 7
# KNiI | the Alexandria database | PBE | optimized geometry
data_KNiI
_space_group_name_H-M_alt 'P 63/m m c'
_space_group_IT_number 194
_space_group_name_Hall '-P 6c 2c'
_cell_length_a 5.9651
_cell_length_b 5.9651
_cell_length_c 9.3737
_cell_angle_alpha 90.00
_cell_angle_beta 90.00
_cell_angle_gamma 120.00
loop_
_atom_site_label
_atom_site_fract_x
_atom_site_fract_y
_atom_site_fract_z
_atom_site_occupancy
K1 0.3333 0.6667 0.2500 1
Ni1 0.0000 0.0000 0.0000 1
I1 0.0000 0.0000 0.2500 1
# - raw formation energy (meV per atom) = -26
# - total magnetization (μB per atom) = 0.000

***

# 8
# ZrAlBr2 | the Alexandria database | PBE | optimized geometry
data_ZrAlBr2
_space_group_name_H-M_alt 'R 3 m'
_space_group_IT_number 160
_space_group_name_Hall 'R 3 -2"'
_cell_length_a 3.4422
_cell_length_b 3.4422
_cell_length_c 29.6240
_cell_angle_alpha 90.00
_cell_angle_beta 90.00
_cell_angle_gamma 120.00
loop_
_atom_site_label
_atom_site_fract_x
_atom_site_fract_y
_atom_site_fract_z
_atom_site_occupancy
Zr1 0.0000 0.0000 0.0000 1
Al1 0.0000 0.0000 0.7420 1
Br1 0.0000 0.0000 0.2694 1
Br2 0.0000 0.0000 0.4699 1
# - raw formation energy (meV per atom) = -717
# - total magnetization (μB per atom) = 0.095

***

Number 1: N(E_F) 0.40 states/eV per atom. Number 2: N(E_F) 0.42 states/eV per atom. Number 3: N(E_F) 1.28 states/eV per atom. Number 4: N(E_F) 1.46 states/eV per atom. Number 5: N(E_F) 0.58 states/eV per atom. Number 6: N(E_F) 0.79 states/eV per atom. Number 7: N(E_F) 0.00 states/eV per atom. Number 8: N(E_F) 0.61 states/eV per atom.